[1]
Density functional theory data (PBE) for crystalline Mn2MoOsN at its relaxed geometry.

Cell and atoms, written as CIF:
```
data_Mn2MoOsN
_cell_length_a 3.7954
_cell_length_b 3.7954
_cell_length_c 4.0574
_cell_angle_alpha 90.00
_cell_angle_beta 90.00
_cell_angle_gamma 90.00
_space_group_name_H-M_alt 'P 1'
_space_group_IT_number 1
_space_group_name_Hall 'P 1'
loop_
_atom_site_label
_atom_site_type_symbol
_atom_site_fract_x
_atom_site_fract_y
_atom_site_fract_z
Mn1 Mn 0.0000 0.5000 0.0000
Mn2 Mn 0.5000 0.0000 0.0000
Os1 Os 0.5000 0.5000 0.5000
Mo1 Mo 0.0000 0.0000 0.5000
N1 N 0.0000 0.0000 0.0000
```

---

[2]
Density functional theory data (PBE) for crystalline MnMoP2N at its relaxed geometry.

Cell and atoms, written as CIF:
```
data_MnMoP2N
_cell_length_a 4.7659
_cell_length_b 3.7797
_cell_length_c 4.7659
_cell_angle_alpha 90.00
_cell_angle_beta 90.00
_cell_angle_gamma 90.00
_space_group_name_H-M_alt 'P 1'
_space_group_IT_number 1
_space_group_name_Hall 'P 1'
loop_
_atom_site_label
_atom_site_type_symbol
_atom_site_fract_x
_atom_site_fract_y
_atom_site_fract_z
Mn1 Mn 0.5000 0.5000 0.5000
P1 P 0.0000 0.0000 0.5000
P2 P 0.5000 0.0000 0.0000
N1 N 0.0000 0.5000 0.0000
Mo1 Mo 0.0000 0.0000 0.0000
```

---

Number 1: uncorrected energy -48.959 eV per cell, E_form (uncorrected) -47 meV/atom. Number 2: uncorrected energy -33.949 eV per cell, E_form (uncorrected) 1039 meV/atom.